[1]
MoRhPb2 | PBE | optimized geometry

Summary:
The value obtained for the distance to the lowest polymorph of the same formula is 0.292 eV per atom. The calculation puts the formation energy at 494.7 meV/atom. The raw total energy is -23.6 eV/cell. The symmetry is Fm-3m, No. 225.

CIF file:
```
data_MoRhPb2
_space_group_name_H-M_alt 'P 1'
_space_group_IT_number 1
_cell_length_a 4.793
_cell_length_b 4.793
_cell_length_c 4.793
_cell_angle_alpha 60.00
_cell_angle_beta 60.00
_cell_angle_gamma 60.00
loop_
_space_group_symop_operation_xyz
'x,y,z'
loop_
_atom_site_label
_atom_site_fract_x
_atom_site_fract_y
_atom_site_fract_z
_atom_site_occupancy
Pb1 0.250 0.250 0.250 1
Pb2 0.750 0.750 0.750 1
Mo1 0.000 0.000 0.000 1
Rh1 0.500 0.500 0.500 1
```

[2]
MoRhPb2 | PBE | optimized geometry

Summary:
The value obtained for the distance to the lowest polymorph of the same formula is 0.588 eV per atom. The calculation puts the formation energy at 790.2 meV/atom. The raw total energy is -44.9 eV/cell. The symmetry is I-42d, No. 122.

CIF file:
```
data_MoRhPb2
_space_group_name_H-M_alt 'P 1'
_space_group_IT_number 1
_cell_length_a 7.608
_cell_length_b 7.608
_cell_length_c 6.202
_cell_angle_alpha 52.17
_cell_angle_beta 52.17
_cell_angle_gamma 90.00
loop_
_space_group_symop_operation_xyz
'x,y,z'
loop_
_atom_site_label
_atom_site_fract_x
_atom_site_fract_y
_atom_site_fract_z
_atom_site_occupancy
Pb1 0.645 0.125 0.250 1
Pb2 0.105 0.625 0.250 1
Pb3 0.375 0.355 0.750 1
Pb4 0.875 0.895 0.750 1
Mo1 0.500 0.500 0.000 1
Mo2 0.250 0.750 0.500 1
Rh1 0.000 0.000 0.000 1
Rh2 0.750 0.250 0.500 1
```

[3]
Mo2RhPb | PBE | optimized geometry

Summary:
The calculation puts the formation energy at 370.7 meV/atom. The raw total energy is -31.2 eV/cell. The symmetry is Cmm2, No. 35.

CIF file:
```
data_Mo2RhPb
_space_group_name_H-M_alt 'P 1'
_space_group_IT_number 1
_cell_length_a 2.958
_cell_length_b 2.958
_cell_length_c 8.257
_cell_angle_alpha 90.00
_cell_angle_beta 90.00
_cell_angle_gamma 99.28
loop_
_space_group_symop_operation_xyz
'x,y,z'
loop_
_atom_site_label
_atom_site_fract_x
_atom_site_fract_y
_atom_site_fract_z
_atom_site_occupancy
Mo1 0.000 0.000 0.988 1
Mo2 0.500 0.500 0.225 1
Pb1 0.000 0.000 0.507 1
Rh1 0.500 0.500 0.780 1
```